Material: Li2CdRu
Method: DFT, PBE
State: relaxed

Structure (CIF):
```
data_Li2CdRu
_space_group_name_H-M_alt 'C 1 2/m 1'
_space_group_IT_number 12
_cell_length_a 9.265
_cell_length_b 2.739
_cell_length_c 5.007
_cell_angle_alpha 90.00
_cell_angle_beta 98.45
_cell_angle_gamma 90.00
loop_
_space_group_symop_operation_xyz
'x,y,z'
'-x,-y,-z'
'-x,y,-z'
'x,-y,z'
'x+1/2,y+1/2,z'
'-x+1/2,-y+1/2,-z'
'-x+1/2,y+1/2,-z'
'x+1/2,-y+1/2,z'
loop_
_atom_site_label
_atom_site_type_symbol
_atom_site_fract_x
_atom_site_fract_y
_atom_site_fract_z
Li1 Li 0.247 0.000 0.219
Cd1 Cd 0.000 0.000 0.500
Ru1 Ru 0.000 0.500 0.000
```



Material: LiCd2Ru
Method: DFT, PBE
State: relaxed

Structure (CIF):
```
data_LiCd2Ru
_space_group_name_H-M_alt 'I -4 2 d'
_space_group_IT_number 122
_space_group_name_Hall 'I -4 2bw'
_cell_length_a 4.003
_cell_length_b 4.003
_cell_length_c 18.949
_cell_angle_alpha 90.00
_cell_angle_beta 90.00
_cell_angle_gamma 90.00
loop_
_atom_site_label
_atom_site_type_symbol
_atom_site_fract_x
_atom_site_fract_y
_atom_site_fract_z
Li1 Li 0.000 0.000 0.000
Cd1 Cd 0.249 0.250 0.625
Ru1 Ru 0.000 0.000 0.500
```



Material: LiCdRu
Method: DFT, PBE
State: relaxed

Structure (CIF):
```
data_LiCdRu
_space_group_name_H-M_alt 'I 4 m m'
_space_group_IT_number 107
_space_group_name_Hall 'I 4 -2'
_cell_length_a 2.772
_cell_length_b 2.772
_cell_length_c 12.753
_cell_angle_alpha 90.00
_cell_angle_beta 90.00
_cell_angle_gamma 90.00
loop_
_atom_site_label
_atom_site_type_symbol
_atom_site_fract_x
_atom_site_fract_y
_atom_site_fract_z
Li1 Li 0.000 0.000 0.000
Cd1 Cd 0.000 0.000 0.322
Ru1 Ru 0.000 0.000 0.652
```

Computed properties:
Offset from the most stable computed form: 0.219 eV per atom



Material: Li2CdRu
Method: DFT, PBE
State: relaxed

Structure (CIF):
```
data_Li2CdRu
_space_group_name_H-M_alt 'C m m m'
_space_group_IT_number 65
_space_group_name_Hall '-C 2 2'
_cell_length_a 5.598
_cell_length_b 8.295
_cell_length_c 2.660
_cell_angle_alpha 90.00
_cell_angle_beta 90.00
_cell_angle_gamma 90.00
loop_
_atom_site_label
_atom_site_type_symbol
_atom_site_fract_x
_atom_site_fract_y
_atom_site_fract_z
Li1 Li 0.250 0.250 0.000
Cd1 Cd 0.000 0.000 0.500
Ru1 Ru 0.000 0.500 0.500
```



Material: Li2CdRu2
Method: DFT, PBE
State: relaxed

Structure (CIF):
```
data_Li2CdRu2
_space_group_name_H-M_alt 'I 4/m m m'
_space_group_IT_number 139
_space_group_name_Hall '-I 4 2'
_cell_length_a 3.477
_cell_length_b 3.477
_cell_length_c 14.130
_cell_angle_alpha 90.00
_cell_angle_beta 90.00
_cell_angle_gamma 90.00
loop_
_atom_site_label
_atom_site_type_symbol
_atom_site_fract_x
_atom_site_fract_y
_atom_site_fract_z
Li1 Li 0.000 0.000 0.103
Cd1 Cd 0.000 0.000 0.500
Ru1 Ru 0.000 0.500 0.250
```

Computed properties:
Offset from the most stable computed form: 0.000 eV per atom



Material: LiCd3Ru
Method: DFT, PBE
State: relaxed

Structure (CIF):
```
data_LiCd3Ru
_space_group_name_H-M_alt 'P m -3 m'
_space_group_IT_number 221
_space_group_name_Hall '-P 4 2 3'
_cell_length_a 4.535
_cell_length_b 4.535
_cell_length_c 4.535
_cell_angle_alpha 90.00
_cell_angle_beta 90.00
_cell_angle_gamma 90.00
loop_
_atom_site_label
_atom_site_type_symbol
_atom_site_fract_x
_atom_site_fract_y
_atom_site_fract_z
Li1 Li 0.000 0.000 0.000
Cd1 Cd 0.000 0.000 0.500
Ru1 Ru 0.500 0.500 0.500
```

Computed properties:
Offset from the most stable computed form: 0.370 eV per atom



Number 1: DFT formation energy 9 kJ/mol of atoms. Number 2: DFT formation energy 48 kJ/mol of atoms. Number 3: DFT formation energy 25 kJ/mol of atoms. Number 4: DFT formation energy 13 kJ/mol of atoms. Number 5: DFT formation energy 34 kJ/mol of atoms. Number 6: DFT formation energy 73 kJ/mol of atoms.